K3SmTh2Se6 | PBE | relaxed

Results
E_tot	-63.10	eV per formula unit
D(E_F)	7.15	states/eV/f.u.

abc: 7.374 12.770 8.186
angles: 90.00 107.47 90.00
Space group C2/m (No. 12)
Inequivalent atoms, fractional coordinates:
K  0.000  0.000  0.000 x2
K  0.000  0.334  0.000 x4
Sm  0.000  0.500  0.500 x2
Th  0.000  0.167  0.500 x4
Se  0.236  0.000  0.715 x4
Se  0.239  0.332  0.715 x8

***

K4Sm3ThSe8 | PBE | relaxed

Results
E_tot	-81.14	eV per formula unit
D(E_F)	4.90	states/eV/f.u.

abc: 8.5676 8.5676 23.1737
angles: 90.00 90.00 120.00
Space group R-3m (No. 166, hexagonal axes)
Inequivalent atoms, fractional coordinates:
K  0.0000  0.0000  0.0000 x3
K  0.0000  0.5000  0.0000 x9
Sm  0.0000  0.5000  0.5000 x9
Th  0.0000  0.0000  0.5000 x3
Se  0.0000  0.0000  0.2369 x6
Se  0.0023  0.5012  0.2372 x18

***

K3Sm2ThSe6 | PBE | relaxed

Results
E_tot	-61.28	eV per formula unit
D(E_F)	4.69	states/eV/f.u.

abc: 19.793 4.280 9.187
angles: 90.00 108.83 90.00
Space group C2/m (No. 12)
Inequivalent atoms, fractional coordinates:
K  0.000  0.000  0.000 x2
K  0.168  0.500  0.333 x4
Sm  0.169  0.500  0.838 x4
Th  0.000  0.000  0.500 x2
Se  0.008  0.500  0.729 x4
Se  0.157  0.000  0.604 x4
Se  0.175  0.000  0.063 x4

***

What did the second record say?
K4Sm3ThSe8 | PBE | relaxed

Results
E_tot	-81.14	eV per formula unit
D(E_F)	4.90	states/eV/f.u.

abc: 8.5676 8.5676 23.1737
angles: 90.00 90.00 120.00
Space group R-3m (No. 166, hexagonal axes)
Inequivalent atoms, fractional coordinates:
K  0.0000  0.0000  0.0000 x3
K  0.0000  0.5000  0.0000 x9
Sm  0.0000  0.5000  0.5000 x9
Th  0.0000  0.0000  0.5000 x3
Se  0.0000  0.0000  0.2369 x6
Se  0.0023  0.5012  0.2372 x18